No. 1
BeZnAs2 | GGA-PBE | relaxed

Lattice parameters (Å, degrees): 5.5878 5.5878 5.5878 142.07 142.07 54.72
Last column: nearest neighbours and their distance in Å.
Atoms (fractional coordinates):
Be 0.0000 0.0000 0.0000  4 As 2.57
Zn 0.2500 0.7500 0.5000  4 As 2.57
As 0.5000 0.5000 0.0000  4 Be 2.57
As 0.7500 0.2500 0.5000  4 Zn 2.57

Calculated values
spin magnetization	0.00	μB/f.u.
ρ	5.7	Mg/m³

---

No. 2
BeZnAs | GGA-PBE | relaxed

Lattice parameters (Å, degrees): 6.4816 6.4251 2.7356 78.92 76.61 24.47
Last column: nearest neighbours and their distance in Å.
Atoms (fractional coordinates):
Be 0.0000 0.0000 0.0000  4 Zn 2.41-2.56, 2 As 2.61
Zn 0.3729 0.3729 0.6271  4 Be 2.41-2.56
As 0.6500 0.6500 0.3500  4 Be 2.61-2.74, 4 As 2.74

Calculated values
spin magnetization	0.00	μB/f.u.
ρ	5.4	Mg/m³

---

Number 1: ΔE_f 403 meV per atom. Number 2: ΔE_f 349 meV per atom.